Here is a relaxed structure of Co4MoPd from the Alexandria database. Energies are from PBE.

Computed properties:
Spin magnetization: 0.64 μB per atom
Formation enthalpy at 0 K: 4 kJ per mole of atoms

Cell lengths 6.637, 6.637, 6.637 Å; angles 90.00, 90.00, 90.00 degrees
Space group F-43m (No. 216)
One atom of each set of equivalent atoms:
Co 0.125 0.125 0.125 (multiplicity 16)
Mo 0.250 0.250 0.750 (multiplicity 4)
Pd 0.000 0.000 0.500 (multiplicity 4)